Compound: ZrTaO3
Source: Alexandria
Functional: PBE-GGA
Structure: optimized geometry

## Properties
The size of the total moment is 2.99 μB/cell. The value obtained for the formation energy without anion corrections is -1.359 eV/atom. The value obtained for the density is 7.70 Mg/m³. The total energy is -8.414 eV/atom. The space group is No. 221.

abc: 4.103 4.103 4.103
angles: 90.00 90.00 90.00
Fractional positions:
Zr  0.000  0.000  0.000
Ta  0.500  0.500  0.500
O  0.000  0.000  0.500
O  0.000  0.500  0.000
O  0.500  0.000  0.000